Tm2W3O12 PBE+U relaxed; E_tot = -7.79 eV/atom; total magnetization = 0.0 μB per formula unit
1.0
-2.930 6.104 -0.869
-4.646 -4.949 0.721
-3.573 2.067 10.507
Tm W O
4 6 24
Direct
0.711 0.958 0.592
0.958 0.711 0.092
0.042 0.289 0.908
0.289 0.042 0.408
0.539 0.755 0.947
0.755 0.539 0.447
0.134 0.866 0.750
0.866 0.134 0.250
0.245 0.461 0.553
0.461 0.245 0.053
0.531 0.899 0.795
0.868 0.791 0.721
0.074 0.659 0.898
0.773 0.333 0.562
0.822 0.922 0.958
0.532 0.607 0.575
0.899 0.531 0.295
0.393 0.468 0.925
0.078 0.178 0.542
0.667 0.227 0.938
0.341 0.926 0.602
0.791 0.868 0.221
0.209 0.132 0.779
0.659 0.074 0.398
0.333 0.773 0.062
0.922 0.822 0.458
0.607 0.532 0.075
0.101 0.469 0.705
0.468 0.393 0.425
0.178 0.078 0.042
0.227 0.667 0.438
0.926 0.341 0.102
0.132 0.209 0.279
0.469 0.101 0.205